The following is a DFT calculation (PBE-GGA) of crystalline Sm2CuBiO5 at its relaxed geometry.

```
18
Lattice="-3.9039 5.0314 -1.1839 -4.5637 -2.5626 4.1581 2.7615 3.3402 5.0894" Properties=species:S:1:pos:R:3 pbc="T T T"
Cu -0.9011 0.3888 4.6237
Cu 0.0000 0.0000 0.0000
O -1.6541 2.5478 6.7115
O -4.0520 3.2612 1.3521
O -3.9717 0.3517 5.0203
O -2.2567 0.9473 1.8966
O -1.7345 5.4573 3.0432
O -3.4495 4.8617 6.1670
O -5.7670 2.6656 4.4759
O 0.0609 3.1435 3.5877
O -2.8531 2.9045 4.0318
O -1.9519 2.5157 -0.5920
Sm -3.8579 2.6523 6.2732
Sm -4.5480 1.3700 3.0993
Sm -1.8483 3.1567 1.7904
Sm -1.1581 4.4391 4.9643
Bi 1.3807 1.6701 2.5447
Bi -2.2819 -1.2813 2.0791
```

Summary:
The electronic total energy comes out at -0.23762 hartree per atom. Its density of states at the Fermi level is 2.16 states/eV/f.u.

The following is a DFT calculation (PBE-GGA) of crystalline ZrZn2Sb at its relaxed geometry.

```
4
Lattice="4.3811 0.0000 0.0000 0.0000 3.1268 -0.0280 0.0000 0.0479 5.8997" Properties=species:S:1:pos:R:3 pbc="T T T"
Zn 2.1905 0.0211 1.4732
Zn 0.0000 3.1169 0.2327
Sb 2.1905 0.0354 4.3047
Zr 0.0000 1.5885 2.7970
```

Summary:
The electronic total energy comes out at -0.14578 hartree per atom. Its density of states at the Fermi level is 1.67 states/eV/f.u.